# 1
Crystalline Li3GeH at its relaxed geometry. Source: the Alexandria database, functional PBE.

POSCAR file:
```
Li3GeH
1.0
3.9498 0.0000 0.0000
0.0000 3.9498 0.0000
0.0000 0.0000 3.9498
Li Ge H
3 1 1
Cartesian
0.0000 0.0000 1.9749
0.0000 1.9749 0.0000
1.9749 0.0000 0.0000
1.9749 1.9749 1.9749
0.0000 0.0000 0.0000
```

Computed properties:
total magnetization	0.000	μB/atom
total DFT energy (no corrections)	-2.997	eV/atom
calculated volume	12.3	A^3/atom
ρ	2.55	g/cm3
DOS at the Fermi energy	0.27	states/eV/atom
SG	Pm-3m, No. 221



# 2
Crystalline CrIrBr2 at its relaxed geometry. Source: the Alexandria database, functional PBE.

POSCAR file:
```
CrIrBr2
1.0
1.6536 0.9547 8.2751
-1.6536 0.9547 8.2751
0.0000 -1.9094 8.2751
Cr Ir Br
1 1 2
Cartesian
0.0000 0.0000 0.0000
0.0000 0.0000 12.4127
0.0000 0.0000 9.9653
0.0000 0.0000 14.8601
```

Computed properties:
total magnetization	0.742	μB/atom
total DFT energy (no corrections)	-4.862	eV/atom
calculated volume	19.6	A^3/atom
ρ	8.56	g/cm3
DOS at the Fermi energy	0.97	states/eV/atom
SG	R-3m, No. 166



# 3
Crystalline Nd7Ho3Tm at its relaxed geometry. Source: the Alexandria database, functional PBE.

POSCAR file:
```
Nd7Ho3Tm
1.0
6.4054 -5.6856 0.0000
6.4054 5.6856 0.0000
-2.7180 0.0000 5.2430
Nd Ho Tm
7 3 1
Cartesian
0.0000 0.0000 0.0000
3.1126 2.4025 1.6182
1.5680 0.0000 4.1520
6.9803 2.4025 3.6248
3.1126 -2.4025 1.6182
8.5249 0.0000 1.0910
6.9803 -2.4025 3.6248
6.4054 2.3293 0.0000
5.0464 0.0000 2.6215
6.4054 -2.3293 0.0000
-1.3590 0.0000 2.6215
```

Computed properties:
E_form	0.23	eV per atom
total magnetization	0.000	μB/atom
calculated volume	34.7	A^3/atom
ρ	7.28	g/cm3
DOS at the Fermi energy	1.29	states/eV/atom
SG	C2/m, No. 12



# 4
Crystalline LiNiCl at its relaxed geometry. Source: the Alexandria database, functional PBE.

POSCAR file:
```
LiNiCl
1.0
4.6866 -1.9039 0.0000
4.6866 1.9039 0.0000
-4.3262 0.0000 6.0436
Li Ni Cl
2 2 2
Cartesian
0.0000 0.0000 0.0000
2.9968 0.0000 3.2758
-1.2254 0.0000 5.1749
2.2723 0.0000 5.9538
0.7663 0.0000 4.4248
7.6986 0.0000 1.7945
```

Computed properties:
total magnetization	0.000	μB/atom
total DFT energy (no corrections)	-3.662	eV/atom
calculated volume	18.0	A^3/atom
ρ	3.11	g/cm3
DOS at the Fermi energy	0.00	states/eV/atom
SG	Cm, No. 8



# 5
Crystalline NdUN3 at its relaxed geometry. Source: the Alexandria database, functional PBE.

POSCAR file:
```
NdUN3
1.0
4.2639 0.0000 0.0000
0.0000 4.2639 0.0000
0.0000 0.0000 4.2639
Nd U N
1 1 3
Cartesian
0.0000 0.0000 0.0000
2.1320 2.1320 2.1320
0.0000 2.1320 2.1320
2.1320 0.0000 2.1320
2.1320 2.1320 0.0000
```

Computed properties:
total magnetization	0.000	μB/atom
total DFT energy (no corrections)	-9.404	eV/atom
calculated volume	15.5	A^3/atom
ρ	9.09	g/cm3
SG	Pm-3m, No. 221



# 6
Crystalline SrMoSCl2 at its relaxed geometry. Source: the Alexandria database, functional PBE.

POSCAR file:
```
SrMoSCl2
1.0
5.0115 0.0000 0.0000
0.0000 5.0115 0.0000
0.0000 0.0000 4.6342
Sr Mo S Cl
1 1 1 2
Cartesian
0.0000 0.0000 0.0000
2.5057 2.5057 2.3171
2.5057 2.5057 0.0000
0.0000 2.5057 2.3171
2.5057 0.0000 2.3171
```

Computed properties:
total magnetization	0.000	μB/atom
total DFT energy (no corrections)	-4.966	eV/atom
calculated volume	23.3	A^3/atom
ρ	4.09	g/cm3
DOS at the Fermi energy	0.50	states/eV/atom
SG	P4/mmm, No. 123



# 7
Crystalline NbGa3Si at its relaxed geometry. Source: the Alexandria database, functional PBE.

POSCAR file:
```
NbGa3Si
1.0
5.0146 0.0000 0.0000
0.0000 5.0146 0.0000
0.0000 0.0000 5.0146
Nb Ga Si
1 3 1
Cartesian
0.0000 0.0000 0.0000
0.0000 0.0000 2.5073
0.0000 2.5073 0.0000
2.5073 0.0000 0.0000
2.5073 2.5073 2.5073
```

Computed properties:
total magnetization	0.000	μB/atom
total DFT energy (no corrections)	-4.070	eV/atom
calculated volume	25.2	A^3/atom
ρ	4.35	g/cm3
DOS at the Fermi energy	0.66	states/eV/atom
SG	Pm-3m, No. 221



# 8
Crystalline CeHfO4 at its relaxed geometry. Source: the Alexandria database, functional PBE.

POSCAR file:
```
CeHfO4
1.0
2.0635 -6.2571 0.0000
2.0635 6.2571 0.0000
0.0000 0.0000 7.2814
Ce Hf O
2 2 8
Cartesian
2.0635 5.4908 5.4610
2.0635 -5.4908 1.8203
2.0635 3.6146 1.8203
2.0635 -3.6146 5.4610
2.0635 5.0135 0.4678
2.0635 5.0135 3.1729
2.0635 3.0693 5.4610
2.0635 1.4615 1.8203
2.0635 -1.4615 5.4610
2.0635 -3.0693 1.8203
2.0635 -5.0135 4.1085
2.0635 -5.0135 6.8136
```

Computed properties:
total magnetization	0.000	μB/atom
total DFT energy (no corrections)	-9.291	eV/atom
calculated volume	15.7	A^3/atom
ρ	6.76	g/cm3
DOS at the Fermi energy	0.00	states/eV/atom
SG	Cmcm, No. 63



# 9
Crystalline Y2TiCo2 at its relaxed geometry. Source: the Alexandria database, functional PBE.

POSCAR file:
```
Y2TiCo2
1.0
6.5169 0.0000 0.0000
0.0000 6.5169 0.0000
0.0000 0.0000 4.4937
Y Ti Co
4 2 4
Cartesian
1.1760 2.0825 0.0000
2.0825 5.3409 0.0000
4.4345 1.1760 0.0000
5.3409 4.4345 0.0000
0.0000 0.0000 2.2468
3.2585 3.2585 2.2468
0.8021 4.0606 2.2468
2.4563 0.8021 2.2468
4.0606 5.7148 2.2468
5.7148 2.4563 2.2468
```

Computed properties:
E_form	-0.13	eV per atom
total magnetization	0.000	μB/atom
calculated volume	19.1	A^3/atom
ρ	5.98	g/cm3
DOS at the Fermi energy	0.30	states/eV/atom
SG	P4/mbm, No. 127



# 10
Crystalline Pm2Mg2Pt15 at its relaxed geometry. Source: the Alexandria database, functional PBE.

POSCAR file:
```
Pm2Mg2Pt15
1.0
4.6330 2.6749 4.5495
-4.6330 2.6749 4.5495
0.0000 -5.3497 4.5495
Pm Mg Pt
2 2 15
Cartesian
0.0000 0.0000 2.0287
0.0000 0.0000 11.6198
0.0000 0.0000 5.4386
0.0000 0.0000 8.2098
-2.3165 -1.3374 4.5495
0.0000 -2.6837 4.4176
-2.3241 1.3418 4.4176
-1.4431 -2.4995 6.8242
-2.8862 0.0000 6.8242
-2.3241 -1.3418 9.2309
-2.3165 1.3374 9.0990
1.4431 -2.4995 6.8242
0.0000 2.6749 4.5495
-1.4431 2.4995 6.8242
2.3241 1.3418 4.4176
2.8862 0.0000 6.8242
1.4431 2.4995 6.8242
2.3241 -1.3418 9.2309
0.0000 2.6837 9.2309
```

Computed properties:
E_form	-0.61	eV per atom
total magnetization	0.000	μB/atom
calculated volume	17.8	A^3/atom
ρ	16.03	g/cm3
DOS at the Fermi energy	0.81	states/eV/atom
SG	R-3m, No. 166



# 11
Crystalline PuTlPb2 at its relaxed geometry. Source: the Alexandria database, functional PBE.

POSCAR file:
```
PuTlPb2
1.0
0.0000 3.9135 3.9135
3.9135 0.0000 3.9135
3.9135 3.9135 0.0000
Pu Tl Pb
1 1 2
Cartesian
0.0000 0.0000 0.0000
3.9135 3.9135 3.9135
1.9568 1.9568 1.9568
5.8703 5.8703 5.8703
```

Computed properties:
E_form	0.07	eV per atom
total magnetization	1.509	μB/atom
calculated volume	30.0	A^3/atom
ρ	11.95	g/cm3
DOS at the Fermi energy	3.56	states/eV/atom
SG	Fm-3m, No. 225



# 12
Crystalline Tb4TeSeS2 at its relaxed geometry. Source: the Alexandria database, functional PBE.

POSCAR file:
```
Tb4TeSeS2
1.0
7.0642 0.0000 0.0000
0.0000 4.0381 0.0000
-2.3211 0.0000 6.7804
Tb Te Se S
4 1 1 2
Cartesian
1.1130 0.0000 1.4202
-0.0521 2.0190 5.3096
4.7951 2.0190 1.4709
3.6300 0.0000 5.3602
2.3715 2.0190 3.3902
-1.1606 0.0000 3.3902
0.0000 2.0190 0.0000
3.5321 0.0000 0.0000
```

Computed properties:
total magnetization	0.000	μB/atom
total DFT energy (no corrections)	-5.953	eV/atom
calculated volume	24.2	A^3/atom
ρ	7.78	g/cm3
DOS at the Fermi energy	0.36	states/eV/atom
SG	P2/m, No. 10



# 13
Crystalline KCeTlPb at its relaxed geometry. Source: the Alexandria database, functional PBE.

POSCAR file:
```
KCeTlPb
1.0
3.6014 0.0000 0.0000
0.0000 3.6014 0.0000
0.0000 0.0000 10.0013
K Ce Tl Pb
1 1 1 1
Cartesian
0.0000 0.0000 0.0000
0.0000 0.0000 4.9752
1.8007 1.8007 2.7555
1.8007 1.8007 7.2789
```

Computed properties:
E_form	-0.19	eV per atom
total magnetization	0.177	μB/atom
calculated volume	32.4	A^3/atom
ρ	7.56	g/cm3
DOS at the Fermi energy	1.90	states/eV/atom
SG	P4mm, No. 99



# 14
Crystalline La8Sm3In at its relaxed geometry. Source: the Alexandria database, functional PBE.

POSCAR file:
```
La8Sm3In
1.0
-4.3887 4.3887 5.9194
4.3887 -4.3887 5.9194
4.3887 4.3887 -5.9194
La Sm In
8 3 1
Cartesian
3.2589 3.2589 -2.9585
2.1569 2.1569 -0.1387
2.2318 -2.2318 6.0581
1.1298 1.1298 2.9608
1.1298 -1.1298 8.8779
2.2318 2.2318 5.7806
-2.2318 2.2318 6.0581
-1.1298 1.1298 8.8779
0.0000 0.0000 0.0000
4.3887 0.0000 2.9597
0.0000 4.3887 2.9597
0.0000 0.0000 5.9194
```

Computed properties:
E_form	0.35	eV per atom
total magnetization	0.000	μB/atom
calculated volume	38.0	A^3/atom
ρ	6.11	g/cm3
DOS at the Fermi energy	1.75	states/eV/atom
SG	I-42m, No. 121



# 15
Crystalline Y2Si2Ag at its relaxed geometry. Source: the Alexandria database, functional PBE.

POSCAR file:
```
Y2Si2Ag
1.0
5.3877 -2.1511 0.0000
5.3877 2.1511 0.0000
-4.7819 0.0000 9.0055
Y Si Ag
4 4 2
Cartesian
-0.8447 0.0000 1.6287
-0.8605 0.0000 5.4078
6.8539 0.0000 3.5977
6.8381 0.0000 7.3768
-0.4258 0.0000 8.3833
2.2174 0.0000 5.4721
3.7760 0.0000 3.5333
6.4192 0.0000 0.6222
2.3202 0.0000 1.2491
3.6732 0.0000 7.7564
```

Computed properties:
total magnetization	0.000	μB/atom
total DFT energy (no corrections)	-5.983	eV/atom
calculated volume	20.9	A^3/atom
ρ	5.44	g/cm3
DOS at the Fermi energy	0.76	states/eV/atom
SG	C2/m, No. 12



# 16
Crystalline Pr2HoEr3 at its relaxed geometry. Source: the Alexandria database, functional PBE.

POSCAR file:
```
Pr2HoEr3
1.0
8.9142 -1.7519 0.0000
8.9142 1.7519 0.0000
-6.5177 0.0000 12.6645
Pr Ho Er
4 2 6
Cartesian
-0.2933 0.0000 5.9311
4.9166 0.0000 1.5277
6.3941 0.0000 11.1369
11.6040 0.0000 6.7335
-3.0682 0.0000 8.1336
14.3789 0.0000 4.5309
1.5806 0.0000 0.3351
2.3270 0.0000 3.7011
3.0551 0.0000 10.0358
8.2555 0.0000 2.6288
8.9836 0.0000 8.9635
9.7301 0.0000 12.3294
```

Computed properties:
E_form	0.12	eV per atom
total magnetization	0.000	μB/atom
calculated volume	33.0	A^3/atom
ρ	7.96	g/cm3
DOS at the Fermi energy	1.62	states/eV/atom
SG	C2/m, No. 12



# 17
Crystalline LiCo2Te at its relaxed geometry. Source: the Alexandria database, functional PBE.

POSCAR file:
```
LiCo2Te
1.0
2.6510 -4.4492 0.0000
2.6510 4.4492 0.0000
-1.5958 0.0000 2.5317
Li Co Te
1 2 1
Cartesian
0.0000 0.0000 0.0000
0.5276 2.2246 1.2659
0.5276 -2.2246 1.2659
2.6510 0.0000 0.0000
```

Computed properties:
total magnetization	0.735	μB/atom
total DFT energy (no corrections)	-4.502	eV/atom
calculated volume	14.9	A^3/atom
ρ	7.02	g/cm3
DOS at the Fermi energy	1.45	states/eV/atom
SG	C2/m, No. 12



# 18
Crystalline Ac2GdPd at its relaxed geometry. Source: the Alexandria database, functional PBE.

POSCAR file:
```
Ac2GdPd
1.0
3.8428 0.0000 0.0000
0.0000 3.8428 0.0000
0.0000 0.0000 9.0534
Ac Gd Pd
2 1 1
Cartesian
0.0000 0.0000 1.8340
0.0000 0.0000 7.2193
1.9214 1.9214 4.5267
1.9214 1.9214 0.0000
```

Computed properties:
E_form	-0.30	eV per atom
total magnetization	2.061	μB/atom
calculated volume	33.4	A^3/atom
ρ	8.91	g/cm3
DOS at the Fermi energy	1.52	states/eV/atom
SG	P4/mmm, No. 123



# 19
Crystalline Hg4As2O7 at its relaxed geometry. Source: the Alexandria database, functional PBE.

POSCAR file:
```
Hg4As2O7
1.0
10.3833 0.0000 0.0000
0.0000 12.6008 0.0000
0.0000 0.0000 7.4686
Hg As O
16 8 28
Cartesian
0.0391 1.2397 0.3905
0.0391 5.0607 0.3905
1.0569 6.9698 3.3774
1.0569 11.9314 3.3774
4.1347 0.6694 7.1118
4.1347 5.6310 7.1118
5.1525 7.5401 4.1248
5.1525 11.3611 4.1248
5.2308 1.2397 3.3438
5.2308 5.0607 3.3438
6.2486 6.9698 0.3569
6.2486 11.9314 0.3569
9.3263 0.6694 4.0912
9.3263 5.6310 4.0912
10.3441 7.5401 7.0781
10.3441 11.3611 7.0781
2.2489 3.1502 2.2509
2.3724 9.4506 1.6095
2.8192 3.1502 5.3438
2.9427 9.4506 5.9852
7.4405 3.1502 1.4834
7.5640 9.4506 2.1248
8.0109 3.1502 5.8591
8.1344 9.4506 5.2177
0.6918 3.1502 1.4704
0.7692 9.4506 1.0304
1.6520 3.1502 3.9920
2.1605 7.9668 5.7421
2.1605 10.9345 5.7421
2.4445 1.7231 6.2371
2.4445 4.5773 6.2371
2.7472 8.0235 2.5028
2.7472 10.8777 2.5028
3.0312 1.6663 2.0078
3.0312 4.6341 2.0078
3.5396 9.4506 0.2577
4.4225 3.1502 4.7647
4.4998 9.4506 5.2047
5.8834 3.1502 2.2639
5.9608 9.4506 2.7039
6.8437 3.1502 7.2110
7.3521 7.9668 5.4608
7.3521 10.9345 5.4608
7.6361 1.7231 4.9658
7.6361 4.5773 4.9658
7.9388 8.0235 1.2315
7.9388 10.8777 1.2315
8.2228 1.6663 1.7265
8.2228 4.6341 1.7265
8.7312 9.4506 3.4766
9.6141 3.1502 6.4382
9.6915 9.4506 5.9983
```

Computed properties:
total magnetization	0.000	μB/atom
total DFT energy (no corrections)	-4.265	eV/atom
calculated volume	18.8	A^3/atom
ρ	7.23	g/cm3
SG	Pnma, No. 62



# 20
Crystalline AlAsPtBr2 at its relaxed geometry. Source: the Alexandria database, functional PBE.

POSCAR file:
```
AlAsPtBr2
1.0
4.7830 0.0000 0.0000
0.0000 4.7830 0.0000
0.0000 0.0000 5.2815
Al As Pt Br
1 1 1 2
Cartesian
0.0000 0.0000 0.0000
0.0000 0.0000 2.6407
2.3915 2.3915 2.6407
0.0000 2.3915 0.0000
2.3915 0.0000 0.0000
```

Computed properties:
total magnetization	0.141	μB/atom
total DFT energy (no corrections)	-3.018	eV/atom
calculated volume	24.2	A^3/atom
ρ	6.28	g/cm3
DOS at the Fermi energy	0.65	states/eV/atom
SG	P4/mmm, No. 123